## MnCu4Pt4 (GGA-PBE)

Data for an optimized crystal structure of MnCu4Pt4.

Values from the calculation:
- D(E_F): 0.56 states/eV/atom
- DFT total energy: -5.71 eV/atom
- Formation energy from the elements: -187 meV per atom

Cell lengths 3.8673, 6.0083, 6.0083 Å; angles 84.05, 71.23, 71.23 degrees
Closest atoms and distances in Å follow each position.
Sites, in units of the cell vectors:
Cu (0.6648, 0.0000, 0.6705)  4 Cu 2.65-2.74, 6 Pt 2.67-2.70, 2 Mn 2.69
Pt (0.0000, 0.3224, 0.6776)  1 Mn 2.59, 6 Cu 2.67-2.70, 5 Pt 2.80-2.86
Pt (0.6776, 0.3224, 0.3224)  1 Mn 2.59, 6 Cu 2.67-2.70, 5 Pt 2.80-2.86
Cu (0.3352, 0.0000, 0.3295)  4 Cu 2.65-2.74, 6 Pt 2.67-2.70, 2 Mn 2.69
Pt (0.3224, 0.6776, 0.6776)  1 Mn 2.59, 6 Cu 2.67-2.70, 5 Pt 2.80-2.86
Pt (0.0000, 0.6776, 0.3224)  1 Mn 2.59, 6 Cu 2.67-2.70, 5 Pt 2.80-2.86
Cu (0.6648, 0.6705, 0.0000)  4 Cu 2.65-2.74, 6 Pt 2.67-2.70, 2 Mn 2.69
Mn (0.0000, 0.0000, 0.0000)  4 Pt 2.59, 8 Cu 2.69
Cu (0.3352, 0.3295, 0.0000)  4 Cu 2.65-2.74, 6 Pt 2.67-2.70, 2 Mn 2.69

---

## AcHf6Se12 (GGA-PBE)

Data for an optimized crystal structure of AcHf6Se12.

Values from the calculation:
- D(E_F): 0.30 states/eV/atom
- DFT total energy: -6.58 eV/atom
- ΔE_f (raw): -1.02 eV/atom

Cell lengths 8.1804, 8.1804, 8.1804 Å; angles 108.54, 108.54, 108.54 degrees
Closest atoms and distances in Å follow each position.
Sites, in units of the cell vectors:
Se (0.5000, 0.8854, 0.1146)  4 Hf 2.77-2.78, 3 Se 3.05-3.09
Hf (0.7436, 0.2836, 0.2836)  6 Se 2.61-2.81
Se (0.1146, 0.8854, 0.5000)  4 Hf 2.77-2.78, 3 Se 3.05-3.09
Hf (0.7164, 0.7164, 0.2564)  6 Se 2.61-2.81
Se (0.5978, 0.8579, 0.5978)  2 Hf 2.61-2.81
Se (0.1421, 0.4022, 0.4022)  2 Hf 2.61-2.81
Se (0.8579, 0.5978, 0.5978)  2 Hf 2.61-2.81
Se (0.1146, 0.5000, 0.8854)  4 Hf 2.77-2.78, 3 Se 3.05-3.09
Se (0.5978, 0.5978, 0.8579)  2 Hf 2.61-2.81
Hf (0.2836, 0.2836, 0.7436)  6 Se 2.61-2.81
Se (0.5000, 0.1146, 0.8854)  4 Hf 2.77-2.78, 3 Se 3.05-3.09
Se (0.8854, 0.1146, 0.5000)  4 Hf 2.77-2.78, 3 Se 3.05-3.09
Ac (0.0000, 0.0000, 0.0000)  6 Se 3.35
Se (0.4022, 0.4022, 0.1421)  2 Hf 2.61-2.81
Se (0.8854, 0.5000, 0.1146)  4 Hf 2.77-2.78, 3 Se 3.05-3.09
Se (0.4022, 0.1421, 0.4022)  2 Hf 2.61-2.81
Hf (0.7164, 0.2564, 0.7164)  6 Se 2.61-2.81
Hf (0.2836, 0.7436, 0.2836)  6 Se 2.61-2.81
Hf (0.2564, 0.7164, 0.7164)  6 Se 2.61-2.81

---

## HfTeI2F (GGA-PBE)

Data for an optimized crystal structure of HfTeI2F.

Values from the calculation:
- E above lowest polymorph: 622 meV/atom
- D(E_F): 0.94 states/eV/atom
- DFT total energy: -3.46 eV/atom
- ΔE_f (raw): 0.16 eV/atom

Cell lengths 5.6469, 5.6469, 4.2313 Å; angles 90.00, 90.00, 90.00 degrees
Closest atoms and distances in Å follow each position.
Sites, in units of the cell vectors:
Hf (0.5000, 0.5000, 0.5000)  8 I 3.53
I (0.0000, 0.5000, 0.0000)  2 F 2.82
I (0.5000, 0.0000, 0.0000)  2 F 2.82
Te (0.0000, 0.0000, 0.5000)  2 F 2.12
F (0.0000, 0.0000, 0.0000)  2 Te 2.12

---

## Sc2ZnP (GGA-PBE)

Data for an optimized crystal structure of Sc2ZnP.

Values from the calculation:
- E above lowest polymorph: 207 meV/atom
- D(E_F): 0.62 states/eV/atom
- DFT total energy: -5.48 eV/atom
- Formation energy from the elements: -647 meV per atom

Cell lengths 5.5967, 5.5967, 5.5967 Å; angles 142.48, 137.21, 58.20 degrees
Closest atoms and distances in Å follow each position.
Sites, in units of the cell vectors:
Sc (0.0063, 0.0063, 0.0000)  4 Zn 2.74, 2 P 3.04
P (0.2766, 0.7766, 0.5000)  2 Zn 2.63, 4 Sc 2.74
Sc (0.7450, 0.2450, 0.5000)  4 P 2.74, 2 Zn 3.02
Zn (0.4721, 0.4721, 0.0000)  2 P 2.63, 4 Sc 2.74

---

## Ac19Co6Pt4 (GGA-PBE)

Data for an optimized crystal structure of Ac19Co6Pt4.

Values from the calculation:
- D(E_F): 1.02 states/eV/atom
- DFT total energy: -5.18 eV/atom
- Formation energy from the elements: -180 meV per atom

Cell lengths 10.9606, 10.9606, 10.9606 Å; angles 109.47, 109.47, 109.47 degrees
Closest atoms and distances in Å follow each position.
Sites, in units of the cell vectors:
Ac (0.7701, 0.3840, 0.7260)  2 Co 2.85-3.02
Co (0.5000, 0.8722, 0.3722)  6 Ac 2.85-3.02
Co (0.8722, 0.3722, 0.5000)  6 Ac 2.85-3.02
Co (0.3722, 0.5000, 0.8722)  6 Ac 2.85-3.02
Ac (0.9559, 0.6139, 0.2299)  2 Co 2.85-3.02
Ac (0.6580, 0.0441, 0.2740)  2 Co 2.85-3.02
Ac (0.6975, 0.6975, 0.0000)  2 Co 2.98, 2 Pt 3.24
Co (0.6278, 0.5000, 0.1278)  6 Ac 2.85-3.02
Pt (0.0000, 0.0000, 0.7192)  7 Ac 3.08-3.24
Ac (0.0441, 0.2740, 0.6580)  2 Co 2.85-3.02
Ac (0.3861, 0.3420, 0.6160)  2 Co 2.85-3.02
Ac (0.6139, 0.2299, 0.9559)  2 Co 2.85-3.02
Ac (0.7260, 0.7701, 0.3840)  2 Co 2.85-3.02
Co (0.5000, 0.1278, 0.6278)  6 Ac 2.85-3.02
Ac (0.2299, 0.9559, 0.6139)  2 Co 2.85-3.02
Ac (0.2740, 0.6580, 0.0441)  2 Co 2.85-3.02
Ac (0.3420, 0.6160, 0.3861)  2 Co 2.85-3.02
Co (0.1278, 0.6278, 0.5000)  6 Ac 2.85-3.02
Pt (0.7192, 0.0000, 0.0000)  7 Ac 3.08-3.24
Ac (0.6975, 0.0000, 0.6975)  2 Co 2.98, 2 Pt 3.24
Ac (0.0000, 0.6975, 0.6975)  2 Co 2.98, 2 Pt 3.24
Pt (0.0000, 0.7192, 0.0000)  7 Ac 3.08-3.24
Ac (0.6160, 0.3861, 0.3420)  2 Co 2.85-3.02
Ac (0.3025, 0.3025, 0.0000)  2 Co 2.98, 2 Pt 3.24
Ac (0.3840, 0.7260, 0.7701)  2 Co 2.85-3.02
Ac (0.0000, 0.3025, 0.3025)  2 Co 2.98, 2 Pt 3.24
Pt (0.2808, 0.2808, 0.2808)  7 Ac 3.08-3.24
Ac (0.3025, 0.0000, 0.3025)  2 Co 2.98, 2 Pt 3.24
Ac (0.0000, 0.0000, 0.0000)  4 Pt 3.08

---

## PuZnOsRu (GGA-PBE)

Data for an optimized crystal structure of PuZnOsRu.

Values from the calculation:
- D(E_F): 1.21 states/eV/atom
- DFT total energy: -9.04 eV/atom
- Formation energy from the elements: -16 meV per atom

Cell lengths 4.5309, 4.5309, 4.5309 Å; angles 60.00, 60.00, 60.00 degrees
Closest atoms and distances in Å follow each position.
Sites, in units of the cell vectors:
Pu (0.0000, 0.0000, 0.0000)  4 Ru 2.77, 4 Os 2.77
Ru (0.7500, 0.7500, 0.7500)  4 Pu 2.77, 4 Zn 2.77
Zn (0.5000, 0.5000, 0.5000)  4 Os 2.77, 4 Ru 2.77
Os (0.2500, 0.2500, 0.2500)  4 Pu 2.77, 4 Zn 2.77

---

## Ba4TlNi (GGA-PBE)

Data for an optimized crystal structure of Ba4TlNi.

Values from the calculation:
- D(E_F): 1.57 states/eV/atom
- DFT total energy: -1.95 eV/atom
- Formation energy from the elements: 686 meV per atom

Cell lengths 7.1686, 7.1686, 7.1686 Å; angles 60.00, 60.00, 60.00 degrees
Closest atoms and distances in Å follow each position.
Sites, in units of the cell vectors:
Ba (0.3752, 0.3752, 0.8745)  6 Ba 3.58-3.59
Ba (0.3752, 0.3752, 0.3752)  6 Ba 3.58-3.59
Tl (0.0000, 0.0000, 0.0000)  12 Ba 4.20, 4 Ni 4.39
Ba (0.3752, 0.8745, 0.3752)  6 Ba 3.58-3.59
Ni (0.7500, 0.7500, 0.7500)  12 Ba 4.20, 4 Tl 4.39
Ba (0.8745, 0.3752, 0.3752)  6 Ba 3.58-3.59

---

## Li3Pu2NpSe6 (GGA-PBE)

Data for an optimized crystal structure of Li3Pu2NpSe6.

Values from the calculation:
- D(E_F): 2.59 states/eV/atom
- DFT total energy: -7.03 eV/atom
- ΔE_f (raw): -1.35 eV/atom

Cell lengths 7.1444, 7.1444, 6.8524 Å; angles 100.01, 100.01, 120.00 degrees
Closest atoms and distances in Å follow each position.
Sites, in units of the cell vectors:
Se (0.2454, 0.2454, 0.7467)  3 Li 2.85-2.88, 1 Np 2.86, 2 Pu 2.90
Se (0.7546, 0.7546, 0.2533)  3 Li 2.85-2.88, 1 Np 2.86, 2 Pu 2.90
Li (0.1662, 0.8338, 0.5000)  6 Se 2.85-2.88
Pu (0.3332, 0.6668, 0.0000)  6 Se 2.90
Se (0.0849, 0.4146, 0.2546)  3 Li 2.85-2.88, 1 Np 2.87, 2 Pu 2.90
Pu (0.6668, 0.3332, 0.0000)  6 Se 2.90
Se (0.5854, 0.9151, 0.7454)  3 Li 2.85-2.88, 1 Np 2.87, 2 Pu 2.90
Se (0.9151, 0.5854, 0.7454)  3 Li 2.85-2.88, 1 Np 2.87, 2 Pu 2.90
Li (0.8338, 0.1662, 0.5000)  6 Se 2.85-2.88
Np (0.0000, 0.0000, 0.0000)  6 Se 2.86-2.87
Li (0.5000, 0.5000, 0.5000)  6 Se 2.85-2.88
Se (0.4146, 0.0849, 0.2546)  3 Li 2.85-2.88, 1 Np 2.87, 2 Pu 2.90